(1)
Crystalline V4W at its relaxed geometry. Source: the Alexandria database, functional GGA-PBE.

Summary:
space group = C2/m (12)

Lattice parameters (Å, degrees): 4.2906 5.0481 6.6080 101.59 90.00 90.00
Fractional coordinates of all 10 atoms:
V 0.0000 0.6034 0.1980
V 0.5000 0.8966 0.3020
V 0.0000 0.3966 0.8020
V 0.5000 0.1034 0.6980
V 0.0000 0.8022 0.5989
V 0.5000 0.6978 0.9011
V 0.0000 0.1978 0.4011
V 0.5000 0.3022 0.0989
W 0.0000 0.0000 0.0000
W 0.5000 0.5000 0.5000



(2)
Crystalline V3W4 at its relaxed geometry. Source: the Alexandria database, functional GGA-PBE.

Summary:
space group = P6_3/m (176)

Lattice parameters (Å, degrees): 4.8407 7.1891 7.1891 120.00 90.00 90.00
Fractional coordinates of all 14 atoms:
V 0.7500 0.2301 0.0508
V 0.2500 0.7699 0.9492
V 0.2500 0.0508 0.8208
V 0.7500 0.8208 0.7699
V 0.2500 0.1792 0.2301
V 0.7500 0.9492 0.1792
W 0.2500 0.4662 0.0913
W 0.7500 0.5338 0.9087
W 0.2500 0.3333 0.6667
W 0.7500 0.0913 0.6251
W 0.2500 0.6251 0.5338
W 0.7500 0.3749 0.4662
W 0.2500 0.9087 0.3749
W 0.7500 0.6667 0.3333



(3)
Crystalline V3W5 at its relaxed geometry. Source: the Alexandria database, functional GGA-PBE.

Summary:
space group = P4/mmm (123)

Lattice parameters (Å, degrees): 3.1149 3.1149 12.4282 90.00 90.00 90.00
Fractional coordinates of all 8 atoms:
V 0.5000 0.5000 0.1231
V 0.5000 0.5000 0.8769
V 0.0000 0.0000 0.5000
W 0.0000 0.0000 0.2475
W 0.5000 0.5000 0.6238
W 0.5000 0.5000 0.3762
W 0.0000 0.0000 0.7525
W 0.0000 0.0000 0.0000



(4)
Crystalline VW at its relaxed geometry. Source: the Alexandria database, functional GGA-PBE.

Summary:
space group = Fd-3m (227)

Lattice parameters (Å, degrees): 6.1902 6.1902 6.1902 90.00 90.00 90.00
Fractional coordinates of all 16 atoms:
W 0.5000 0.5000 0.5000
W 0.5000 0.0000 0.0000
W 0.0000 0.5000 0.0000
W 0.0000 0.0000 0.5000
W 0.7500 0.7500 0.7500
W 0.7500 0.2500 0.2500
W 0.2500 0.7500 0.2500
W 0.2500 0.2500 0.7500
V 0.0000 0.0000 0.0000
V 0.0000 0.5000 0.5000
V 0.5000 0.0000 0.5000
V 0.5000 0.5000 0.0000
V 0.2500 0.2500 0.2500
V 0.2500 0.7500 0.7500
V 0.7500 0.2500 0.7500
V 0.7500 0.7500 0.2500



(5)
Crystalline VW at its relaxed geometry. Source: the Alexandria database, functional GGA-PBE.

Summary:
space group = P4/m (83)

Lattice parameters (Å, degrees): 7.5777 7.5777 4.4726 90.00 90.00 90.00
Fractional coordinates of all 16 atoms:
V 0.9680 0.6855 0.5000
V 0.0320 0.3145 0.5000
V 0.3145 0.9680 0.5000
V 0.6855 0.0320 0.5000
V 0.8757 0.1948 0.0000
V 0.1243 0.8052 0.0000
V 0.8052 0.8757 0.0000
V 0.1948 0.1243 0.0000
W 0.7047 0.3685 0.5000
W 0.2953 0.6315 0.5000
W 0.6315 0.7047 0.5000
W 0.3685 0.2953 0.5000
W 0.8282 0.5356 0.0000
W 0.1718 0.4644 0.0000
W 0.4644 0.8282 0.0000
W 0.5356 0.1718 0.0000



(6)
Crystalline V3W5 at its relaxed geometry. Source: the Alexandria database, functional GGA-PBE.

Summary:
space group = Im-3m (229)

Lattice parameters (Å, degrees): 5.3883 5.3883 5.3883 109.47 109.47 109.47
Fractional coordinates of all 8 atoms:
V 0.0000 0.5000 0.5000
V 0.5000 0.0000 0.5000
V 0.5000 0.5000 0.0000
W 0.0000 0.0000 0.0000
W 0.5000 0.0000 0.0000
W 0.5000 0.5000 0.5000
W 0.0000 0.5000 0.0000
W 0.0000 0.0000 0.5000



no.,calculated formation energy (kcal/mol of atoms)
1,-0.89
2,8.78
3,-2.04
4,-1.93
5,9.01
6,-2.15